No. 1
DFT (PBE-GGA) results for CeGdAgIr after structural relaxation.

Results
uncorrected energy: -134.04 eV per cell
ΔH_f (0 K): -0.446 eV/atom

a = 7.1486 Å, b = 7.1486 Å, c = 7.1486 Å
α = 90.00°, β = 90.00°, γ = 90.00°
Atoms (fractional coordinates):
Ce1 0.0000 0.0000 0.0000
Ce2 0.0000 0.5000 0.5000
Ce3 0.5000 0.0000 0.5000
Ce4 0.5000 0.5000 0.0000
Gd1 0.0000 0.0000 0.5000
Gd2 0.0000 0.5000 0.0000
Gd3 0.5000 0.0000 0.0000
Gd4 0.5000 0.5000 0.5000
Ag1 0.2500 0.2500 0.7500
Ag2 0.2500 0.7500 0.2500
Ag3 0.7500 0.2500 0.2500
Ag4 0.7500 0.7500 0.7500
Ir1 0.2500 0.2500 0.2500
Ir2 0.2500 0.7500 0.7500
Ir3 0.7500 0.2500 0.7500
Ir4 0.7500 0.7500 0.2500


No. 2
DFT (PBE-GGA) results for LiVRh2 after structural relaxation.

Results
uncorrected energy: -102.91 eV per cell
ΔH_f (0 K): 0.002 eV/atom
distance to the lowest polymorph of the same formula: 416.8 meV/atom

a = 6.5739 Å, b = 6.5739 Å, c = 5.5156 Å
α = 90.00°, β = 90.00°, γ = 90.00°
Atoms (fractional coordinates):
Li1 0.0000 0.0000 0.0000
Li2 0.0000 0.5000 0.2500
Li3 0.5000 0.0000 0.7500
Li4 0.5000 0.5000 0.5000
V1 0.0000 0.0000 0.5000
V2 0.0000 0.5000 0.7500
V3 0.5000 0.0000 0.2500
V4 0.5000 0.5000 0.0000
Rh1 0.2236 0.2500 0.6250
Rh2 0.2500 0.7236 0.8750
Rh3 0.2500 0.7764 0.3750
Rh4 0.2764 0.2500 0.1250
Rh5 0.7236 0.7500 0.1250
Rh6 0.7500 0.2236 0.3750
Rh7 0.7500 0.2764 0.8750
Rh8 0.7764 0.7500 0.6250


No. 3
DFT (PBE-GGA) results for NdDy2Cd3 after structural relaxation.

Results
uncorrected energy: -37.20 eV per cell
ΔH_f (0 K): -0.314 eV/atom

a = 8.4142 Å, b = 8.4142 Å, c = 7.6513 Å
α = 90.00°, β = 90.00°, γ = 143.18°
Atoms (fractional coordinates):
Nd1 0.1657 0.8343 0.0000
Nd2 0.8343 0.1657 0.0000
Dy1 0.1687 0.8313 0.5000
Dy2 0.5000 0.5000 0.0000
Dy3 0.5000 0.5000 0.5000
Dy4 0.8313 0.1687 0.5000
Cd1 0.0000 0.0000 0.2605
Cd2 0.0000 0.0000 0.7395
Cd3 0.3362 0.6638 0.2604
Cd4 0.3362 0.6638 0.7396
Cd5 0.6638 0.3362 0.2604
Cd6 0.6638 0.3362 0.7396


No. 4
DFT (PBE-GGA) results for HoScCu3 after structural relaxation.

Results
uncorrected energy: -48.87 eV per cell
ΔH_f (0 K): -0.248 eV/atom

a = 12.5401 Å, b = 12.5401 Å, c = 4.2572 Å
α = 90.00°, β = 90.00°, γ = 164.36°
Atoms (fractional coordinates):
Ho1 0.0752 0.9248 0.7500
Ho2 0.9248 0.0752 0.2500
Sc1 0.2082 0.7918 0.2500
Sc2 0.7918 0.2082 0.7500
Cu1 0.3219 0.6781 0.2500
Cu2 0.3773 0.6227 0.7500
Cu3 0.4758 0.5242 0.7500
Cu4 0.5242 0.4758 0.2500
Cu5 0.6227 0.3773 0.2500
Cu6 0.6781 0.3219 0.7500


No. 5
DFT (PBE-GGA) results for YVGe2W after structural relaxation.

Results
uncorrected energy: -35.53 eV per cell
ΔH_f (0 K): 0.448 eV/atom

a = 4.8631 Å, b = 4.8631 Å, c = 4.8075 Å
α = 90.00°, β = 90.00°, γ = 90.00°
Atoms (fractional coordinates):
Y1 0.0000 0.0000 0.0000
V1 0.5000 0.5000 0.0000
Ge1 0.0000 0.5000 0.5000
Ge2 0.5000 0.0000 0.5000
W1 0.5000 0.5000 0.5000


No. 6
DFT (PBE-GGA) results for Cs2LiUSe6 after structural relaxation.

Results
uncorrected energy: -44.56 eV per cell
formation energy without anion corrections: -8.74 eV per formula unit

a = 7.6462 Å, b = 7.6462 Å, c = 7.6462 Å
α = 120.04°, β = 119.93°, γ = 90.03°
Atoms (fractional coordinates):
Cs1 0.2500 0.2500 0.0000
Cs2 0.7500 0.7500 0.0000
Li1 0.5000 0.0000 0.5000
U1 0.0000 0.5000 0.5000
Se1 0.2468 0.2529 0.4997
Se2 0.2469 0.7469 0.5000
Se3 0.2468 0.7471 0.9939
Se4 0.7532 0.2529 0.0061
Se5 0.7531 0.2531 0.5000
Se6 0.7532 0.7471 0.5003


No. 7
DFT (PBE-GGA) results for CaInAg3 after structural relaxation.

Results
uncorrected energy: -9.95 eV per cell
ΔH_f (0 K): 0.670 eV/atom
distance to the lowest polymorph of the same formula: 838.3 meV/atom

a = 5.5384 Å, b = 5.5384 Å, c = 5.5384 Å
α = 90.00°, β = 90.00°, γ = 90.00°
Atoms (fractional coordinates):
Ca1 0.0000 0.0000 0.0000
In1 0.5000 0.5000 0.5000
Ag1 0.0000 0.0000 0.5000
Ag2 0.0000 0.5000 0.0000
Ag3 0.5000 0.0000 0.0000


no.,density of states at the Fermi level (states/eV per cell)
1,26.8
2,4.3
3,14.6
4,7.4
5,4.8
6,7.9
7,1.9